{"formula": "CsZnSb2", "functional": "PBE", "state": "relaxed", "total_magnetization_mub_per_atom": 0.000, "space_group": "Fmm2", "e_form_raw_ev_per_atom": -0.247, "final_energy_ev_per_atom": -2.841, "lattice_angstrom": [[0.0000, 15.1187, 3.0171], [3.1537, 0.0000, 3.0171], [3.1537, 15.1187, 0.0000]], "species": ["Cs", "Cs", "Zn", "Zn", "Sb", "Sb", "Sb", "Sb"], "fractional_positions": [[0.1145, 0.8855, 0.1145], [0.8855, 0.1145, 0.8855], [0.2490, 0.2490, 0.2510], [0.7490, 0.7490, 0.7510], [0.0668, 0.5183, 0.9332], [0.3053, 0.6928, 0.3072], [0.5183, 0.0668, 0.4817], [0.6928, 0.3053, 0.6947]]}

{"formula": "Cs3ZnSb2", "functional": "PBE", "state": "relaxed", "total_magnetization_mub_per_atom": 0.000, "space_group": "Ibam", "e_form_raw_ev_per_atom": -0.310, "final_energy_ev_per_atom": -2.323, "de_polymorph_ev_per_atom": 0.000, "lattice_angstrom": [[-4.6712, 7.8997, 3.8179], [4.6712, -7.8997, 3.8179], [4.6712, 7.8997, -3.8179]], "species": ["Cs", "Cs", "Cs", "Cs", "Cs", "Cs", "Zn", "Zn", "Sb", "Sb", "Sb", "Sb"], "fractional_positions": [[0.1730, 0.6964, 0.8694], [0.2500, 0.2500, 0.0000], [0.3270, 0.1964, 0.5234], [0.6730, 0.8036, 0.4766], [0.7500, 0.7500, 0.0000], [0.8270, 0.3036, 0.1306], [0.2500, 0.7500, 0.5000], [0.7500, 0.2500, 0.5000], [0.0822, 0.3311, 0.4133], [0.4178, 0.8311, 0.2489], [0.5822, 0.1689, 0.7511], [0.9178, 0.6689, 0.5867]]}

{"formula": "Cs3ZnSb2", "functional": "PBE", "state": "relaxed", "total_magnetization_mub_per_atom": 0.178, "space_group": "Ibam", "e_form_raw_ev_per_atom": -0.237, "final_energy_ev_per_atom": -2.251, "de_polymorph_ev_per_atom": 0.073, "lattice_angstrom": [[-4.3164, 7.6022, 5.3154], [4.3164, -7.6022, 5.3154], [4.3164, 7.6022, -5.3154]], "species": ["Cs", "Cs", "Cs", "Cs", "Cs", "Cs", "Zn", "Zn", "Sb", "Sb", "Sb", "Sb"], "fractional_positions": [[0.0314, 0.7500, 0.2814], [0.2500, 0.2500, 0.0000], [0.4686, 0.7500, 0.7186], [0.5314, 0.2500, 0.2814], [0.7500, 0.7500, 0.0000], [0.9686, 0.2500, 0.7186], [0.0000, 0.5000, 0.5000], [0.5000, 0.0000, 0.5000], [0.1043, 0.7316, 0.8359], [0.3957, 0.2316, 0.6273], [0.6043, 0.7684, 0.3727], [0.8957, 0.2684, 0.1641]]}

{"formula": "CsZn8Sb6", "functional": "PBE", "state": "relaxed", "total_magnetization_mub_per_atom": 0.000, "space_group": "R-3", "e_form_raw_ev_per_atom": -0.050, "final_energy_ev_per_atom": -2.435, "lattice_angstrom": [[5.7122, 3.2979, 3.6883], [-5.7122, 3.2979, 3.6883], [0.0000, -6.5959, 3.6883]], "species": ["Cs", "Zn", "Zn", "Zn", "Zn", "Zn", "Zn", "Zn", "Zn", "Sb", "Sb", "Sb", "Sb", "Sb", "Sb"], "fractional_positions": [[0.0000, 0.0000, 0.0000], [0.1728, 0.6083, 0.5183], [0.3258, 0.3258, 0.3258], [0.3917, 0.4817, 0.8272], [0.4817, 0.8272, 0.3917], [0.5183, 0.1728, 0.6083], [0.6083, 0.5183, 0.1728], [0.6742, 0.6742, 0.6742], [0.8272, 0.3917, 0.4817], [0.1339, 0.2493, 0.5845], [0.2492, 0.5845, 0.1339], [0.4155, 0.8661, 0.7507], [0.5845, 0.1339, 0.2493], [0.7507, 0.4155, 0.8661], [0.8661, 0.7507, 0.4155]]}

{"formula": "Cs2ZnSb2", "functional": "PBE", "state": "relaxed", "total_magnetization_mub_per_atom": 0.082, "space_group": "I4/mmm", "e_form_raw_ev_per_atom": -0.019, "final_energy_ev_per_atom": -2.264, "lattice_angstrom": [[-2.1940, 2.1940, 11.8548], [2.1940, -2.1940, 11.8548], [2.1940, 2.1940, -11.8548]], "species": ["Cs", "Cs", "Zn", "Sb", "Sb"], "fractional_positions": [[0.1134, 0.1134, 0.0000], [0.8866, 0.8866, 0.0000], [0.5000, 0.5000, 0.0000], [0.2500, 0.7500, 0.5000], [0.7500, 0.2500, 0.5000]]}

{"formula": "Cs3ZnSb", "functional": "PBE", "state": "relaxed", "total_magnetization_mub_per_atom": 0.000, "space_group": "Pm-3m", "e_form_raw_ev_per_atom": 0.008, "final_energy_ev_per_atom": -1.583, "de_polymorph_ev_per_atom": 0.151, "lattice_angstrom": [[7.5520, 0.0000, 0.0000], [0.0000, 7.5520, 0.0000], [0.0000, 0.0000, 7.5520]], "species": ["Cs", "Cs", "Cs", "Zn", "Sb"], "fractional_positions": [[0.0000, 0.0000, 0.5000], [0.0000, 0.5000, 0.0000], [0.5000, 0.0000, 0.0000], [0.5000, 0.5000, 0.5000], [0.0000, 0.0000, 0.0000]]}

{"formula": "CsZnSb", "functional": "PBE", "state": "relaxed", "total_magnetization_mub_per_atom": 0.000, "space_group": "Cmc2_1", "e_form_raw_ev_per_atom": -0.341, "final_energy_ev_per_atom": -2.424, "lattice_angstrom": [[2.2697, -7.5960, 0.0000], [2.2697, 7.5960, 0.0000], [0.0000, 0.0000, 6.4614]], "species": ["Cs", "Cs", "Zn", "Zn", "Sb", "Sb"], "fractional_positions": [[0.0730, 0.9270, 0.5000], [0.9270, 0.0730, 0.0000], [0.2289, 0.7711, 0.0936], [0.7711, 0.2289, 0.5936], [0.3362, 0.6638, 0.4348], [0.6638, 0.3362, 0.9348]]}

{"formula": "Cs3Zn6Sb5", "functional": "PBE", "state": "relaxed", "total_magnetization_mub_per_atom": 0.000, "space_group": "Pmmn", "e_form_raw_ev_per_atom": -0.182, "final_energy_ev_per_atom": -2.383, "lattice_angstrom": [[4.7329, 0.0000, 0.0000], [0.0000, 14.3505, 0.0000], [0.0000, 0.0000, 12.2383]], "species": ["Cs", "Cs", "Cs", "Cs", "Cs", "Cs", "Zn", "Zn", "Zn", "Zn", "Zn", "Zn", "Zn", "Zn", "Zn", "Zn", "Zn", "Zn", "Sb", "Sb", "Sb", "Sb", "Sb", "Sb", "Sb", "Sb", "Sb", "Sb"], "fractional_positions": [[0.2500, 0.1086, 0.2434], [0.2500, 0.3914, 0.2434], [0.2500, 0.7500, 0.2569], [0.7500, 0.2500, 0.7431], [0.7500, 0.6086, 0.7566], [0.7500, 0.8914, 0.7566], [0.2500, 0.0615, 0.8755], [0.2500, 0.2500, 0.5278], [0.2500, 0.2500, 0.9746], [0.2500, 0.4385, 0.8755], [0.2500, 0.5773, 0.4857], [0.2500, 0.9227, 0.4857], [0.7500, 0.0773, 0.5143], [0.7500, 0.4227, 0.5143], [0.7500, 0.5615, 0.1245], [0.7500, 0.7500, 0.0254], [0.7500, 0.7500, 0.4722], [0.7500, 0.9385, 0.1245], [0.2500, 0.0725, 0.6403], [0.2500, 0.4275, 0.6403], [0.2500, 0.6023, 0.0089], [0.2500, 0.7500, 0.5869], [0.2500, 0.8977, 0.0089], [0.7500, 0.1023, 0.9911], [0.7500, 0.2500, 0.4131], [0.7500, 0.3977, 0.9911], [0.7500, 0.5725, 0.3597], [0.7500, 0.9275, 0.3597]]}

{"formula": "CsZnSb2", "functional": "PBE", "state": "relaxed", "total_magnetization_mub_per_atom": 0.000, "space_group": "I4_1/amd", "e_form_raw_ev_per_atom": -0.113, "final_energy_ev_per_atom": -2.706, "lattice_angstrom": [[-3.0247, 3.0247, 9.0615], [3.0247, -3.0247, 9.0615], [3.0247, 3.0247, -9.0615]], "species": ["Cs", "Cs", "Zn", "Zn", "Sb", "Sb", "Sb", "Sb"], "fractional_positions": [[0.3750, 0.6250, 0.7500], [0.6250, 0.3750, 0.2500], [0.1250, 0.8750, 0.2500], [0.8750, 0.1250, 0.7500], [0.0000, 0.0000, 0.0000], [0.0000, 0.0000, 0.5000], [0.0000, 0.5000, 0.0000], [0.5000, 0.0000, 0.5000]]}

{"formula": "Cs2Zn2Sb", "functional": "PBE", "state": "relaxed", "total_magnetization_mub_per_atom": 0.000, "space_group": "I4/mmm", "e_form_raw_ev_per_atom": -0.039, "final_energy_ev_per_atom": -1.715, "de_polymorph_ev_per_atom": 0.000, "lattice_angstrom": [[-3.6765, 3.6765, 4.0793], [3.6765, -3.6765, 4.0793], [3.6765, 3.6765, -4.0793]], "species": ["Cs", "Cs", "Zn", "Zn", "Sb"], "fractional_positions": [[0.2500, 0.7500, 0.5000], [0.7500, 0.2500, 0.5000], [0.1650, 0.1650, 0.0000], [0.8350, 0.8350, 0.0000], [0.5000, 0.5000, 0.0000]]}

{"formula": "CsZn2Sb", "functional": "PBE", "state": "relaxed", "total_magnetization_mub_per_atom": 0.000, "space_group": "P2_1/m", "e_form_raw_ev_per_atom": -0.075, "final_energy_ev_per_atom": -1.956, "lattice_angstrom": [[4.7815, 0.0000, 0.0000], [0.0000, 7.2899, 0.0000], [-2.3891, 0.0000, 7.7873]], "species": ["Cs", "Cs", "Zn", "Zn", "Zn", "Zn", "Sb", "Sb"], "fractional_positions": [[0.0593, 0.2500, 0.1179], [0.9407, 0.7500, 0.8821], [0.2758, 0.5884, 0.5523], [0.2758, 0.9116, 0.5523], [0.7242, 0.0884, 0.4477], [0.7242, 0.4116, 0.4477], [0.3429, 0.2500, 0.6856], [0.6571, 0.7500, 0.3144]]}

{"formula": "Cs3Zn2Sb2", "functional": "PBE", "state": "relaxed", "total_magnetization_mub_per_atom": 0.024, "space_group": "Pbcm", "e_form_raw_ev_per_atom": -0.245, "final_energy_ev_per_atom": -2.153, "lattice_angstrom": [[6.2615, 0.0000, 0.0000], [0.0000, 13.0486, 0.0000], [0.0000, 0.0000, 15.7632]], "species": ["Cs", "Cs", "Cs", "Cs", "Cs", "Cs", "Cs", "Cs", "Cs", "Cs", "Cs", "Cs", "Zn", "Zn", "Zn", "Zn", "Zn", "Zn", "Zn", "Zn", "Sb", "Sb", "Sb", "Sb", "Sb", "Sb", "Sb", "Sb"], "fractional_positions": [[0.2357, 0.0158, 0.1026], [0.2357, 0.0158, 0.3974], [0.2357, 0.4842, 0.6026], [0.2357, 0.4842, 0.8974], [0.2494, 0.7107, 0.2500], [0.2494, 0.7893, 0.7500], [0.7506, 0.2107, 0.2500], [0.7506, 0.2893, 0.7500], [0.7643, 0.5158, 0.1026], [0.7643, 0.5158, 0.3974], [0.7643, 0.9842, 0.6026], [0.7643, 0.9842, 0.8974], [0.3165, 0.1787, 0.6021], [0.3165, 0.1787, 0.8979], [0.3165, 0.3213, 0.1021], [0.3165, 0.3213, 0.3979], [0.6835, 0.6787, 0.6021], [0.6835, 0.6787, 0.8979], [0.6835, 0.8213, 0.1021], [0.6835, 0.8213, 0.3979], [0.2202, 0.0970, 0.7500], [0.2202, 0.4030, 0.2500], [0.3857, 0.7500, 0.0000], [0.3857, 0.7500, 0.5000], [0.6143, 0.2500, 0.0000], [0.6143, 0.2500, 0.5000], [0.7798, 0.5970, 0.7500], [0.7798, 0.9030, 0.2500]]}